No. 1
Entry from Alexandria via LeMat-Bulk: NaCuP3O9 after structural relaxation (PBE-GGA).

Summary:
total magnetic moment: 1.046 μB per formula unit
VASP energy: -373.0 eV for the cell shown
raw formation energy: -1.9265 eV per atom
crystal system: orthorhombic

```
data_NaCuP3O9
_chemical_formula_sum 'Na4 Cu4 P12 O36'
_symmetry_space_group_name_H-M 'P 1'
_symmetry_Int_Tables_number 1
_cell_length_a 8.380
_cell_length_b 9.127
_cell_length_c 9.185
_cell_angle_alpha 90.00
_cell_angle_beta 90.00
_cell_angle_gamma 90.00
loop_
_symmetry_equiv_pos_as_xyz
'x,y,z'
loop_
_atom_site_label
_atom_site_type_symbol
_atom_site_fract_x
_atom_site_fract_y
_atom_site_fract_z
_atom_site_occupancy
Na1 Na 0.119 0.067 0.111 1
Na2 Na 0.381 0.933 0.611 1
Na3 Na 0.619 0.433 0.889 1
Na4 Na 0.881 0.567 0.389 1
Cu1 Cu 0.104 0.859 0.387 1
Cu2 Cu 0.396 0.141 0.887 1
Cu3 Cu 0.604 0.641 0.613 1
Cu4 Cu 0.896 0.359 0.113 1
P1 P 0.045 0.667 0.046 1
P2 P 0.057 0.060 0.735 1
P3 P 0.233 0.584 0.565 1
P4 P 0.267 0.416 0.065 1
P5 P 0.443 0.940 0.235 1
P6 P 0.455 0.333 0.546 1
P7 P 0.545 0.833 0.954 1
P8 P 0.557 0.440 0.265 1
P9 P 0.733 0.916 0.435 1
P10 P 0.767 0.084 0.935 1
P11 P 0.943 0.560 0.765 1
P12 P 0.955 0.167 0.454 1
O1 O 0.022 0.190 0.617 1
O2 O 0.066 0.071 0.364 1
O3 O 0.086 0.813 0.107 1
O4 O 0.106 0.925 0.655 1
O5 O 0.119 0.536 0.697 1
O6 O 0.130 0.326 0.122 1
O7 O 0.135 0.649 0.443 1
O8 O 0.162 0.120 0.855 1
O9 O 0.207 0.574 0.012 1
O10 O 0.293 0.426 0.512 1
O11 O 0.338 0.880 0.355 1
O12 O 0.365 0.351 0.943 1
O13 O 0.370 0.674 0.622 1
O14 O 0.381 0.464 0.197 1
O15 O 0.394 0.075 0.155 1
O16 O 0.414 0.187 0.607 1
O17 O 0.434 0.929 0.864 1
O18 O 0.478 0.810 0.117 1
O19 O 0.522 0.310 0.383 1
O20 O 0.566 0.429 0.636 1
O21 O 0.586 0.687 0.893 1
O22 O 0.606 0.575 0.345 1
O23 O 0.619 0.964 0.303 1
O24 O 0.630 0.174 0.878 1
O25 O 0.635 0.851 0.557 1
O26 O 0.662 0.380 0.145 1
O27 O 0.707 0.926 0.988 1
O28 O 0.793 0.074 0.488 1
O29 O 0.838 0.620 0.645 1
O30 O 0.865 0.149 0.057 1
O31 O 0.870 0.826 0.378 1
O32 O 0.881 0.036 0.803 1
O33 O 0.894 0.425 0.845 1
O34 O 0.914 0.313 0.393 1
O35 O 0.934 0.571 0.136 1
O36 O 0.978 0.690 0.883 1
```



No. 2
Entry from Alexandria via LeMat-Bulk: Na5Cu3P4O16 after structural relaxation (PBE-GGA).

Summary:
total magnetic moment: 0.853 μB per formula unit
VASP energy: -167.8 eV for the cell shown
raw formation energy: -1.7117 eV per atom
crystal system: triclinic

```
data_Na5Cu3P4O16
_chemical_formula_sum 'Na5 Cu3 P4 O16'
_symmetry_space_group_name_H-M 'P 1'
_symmetry_Int_Tables_number 1
_cell_length_a 5.322
_cell_length_b 8.826
_cell_length_c 8.951
_cell_angle_alpha 102.68
_cell_angle_beta 96.79
_cell_angle_gamma 104.19
loop_
_symmetry_equiv_pos_as_xyz
'x,y,z'
loop_
_atom_site_label
_atom_site_type_symbol
_atom_site_fract_x
_atom_site_fract_y
_atom_site_fract_z
_atom_site_occupancy
Na1 Na 0.000 0.000 0.000 1
Na2 Na 0.143 0.667 0.742 1
Na3 Na 0.146 0.712 0.323 1
Na4 Na 0.854 0.288 0.677 1
Na5 Na 0.857 0.333 0.258 1
Cu1 Cu 0.176 0.983 0.648 1
Cu2 Cu 0.500 0.500 0.500 1
Cu3 Cu 0.824 0.017 0.352 1
P1 P 0.287 0.421 0.016 1
P2 P 0.338 0.127 0.352 1
P3 P 0.662 0.873 0.648 1
P4 P 0.713 0.579 0.984 1
O1 O 0.084 0.450 0.519 1
O2 O 0.107 0.150 0.245 1
O3 O 0.145 0.261 0.905 1
O4 O 0.172 0.486 0.152 1
O5 O 0.205 0.988 0.426 1
O6 O 0.397 0.564 0.926 1
O7 O 0.467 0.926 0.750 1
O8 O 0.483 0.280 0.486 1
O9 O 0.517 0.720 0.514 1
O10 O 0.533 0.074 0.250 1
O11 O 0.603 0.436 0.074 1
O12 O 0.795 0.012 0.574 1
O13 O 0.828 0.514 0.848 1
O14 O 0.855 0.739 0.095 1
O15 O 0.893 0.850 0.755 1
O16 O 0.916 0.550 0.481 1
```



No. 3
Entry from Alexandria via LeMat-Bulk: Na6Cu9P8O32 after structural relaxation (PBE-GGA).

Summary:
total magnetic moment: 9.071 μB per formula unit
VASP energy: -339.6 eV for the cell shown
raw formation energy: -1.6895 eV per atom
crystal system: triclinic

```
data_Na6Cu9P8O32
_chemical_formula_sum 'Na6 Cu9 P8 O32'
_symmetry_space_group_name_H-M 'P 1'
_symmetry_Int_Tables_number 1
_cell_length_a 8.944
_cell_length_b 9.113
_cell_length_c 9.461
_cell_angle_alpha 112.93
_cell_angle_beta 100.24
_cell_angle_gamma 103.04
loop_
_symmetry_equiv_pos_as_xyz
'x,y,z'
loop_
_atom_site_label
_atom_site_type_symbol
_atom_site_fract_x
_atom_site_fract_y
_atom_site_fract_z
_atom_site_occupancy
Na1 Na 0.008 0.300 0.244 1
Na2 Na 0.331 0.309 0.851 1
Na3 Na 0.354 0.067 0.437 1
Na4 Na 0.646 0.933 0.563 1
Na5 Na 0.669 0.691 0.149 1
Na6 Na 0.992 0.700 0.756 1
Cu1 Cu 0.000 0.000 0.500 1
Cu2 Cu 0.000 0.500 0.000 1
Cu3 Cu 0.193 0.732 0.434 1
Cu4 Cu 0.287 0.111 0.068 1
Cu5 Cu 0.344 0.699 0.944 1
Cu6 Cu 0.500 0.500 0.500 1
Cu7 Cu 0.656 0.301 0.056 1
Cu8 Cu 0.713 0.889 0.932 1
Cu9 Cu 0.807 0.268 0.566 1
P1 P 0.034 0.879 0.148 1
P2 P 0.169 0.374 0.592 1
P3 P 0.341 0.588 0.232 1
P4 P 0.395 0.940 0.788 1
P5 P 0.605 0.060 0.212 1
P6 P 0.659 0.412 0.768 1
P7 P 0.831 0.626 0.408 1
P8 P 0.966 0.121 0.852 1
O1 O 0.008 0.662 0.498 1
O2 O 0.071 0.882 0.317 1
O3 O 0.094 0.738 0.040 1
O4 O 0.125 0.055 0.166 1
O5 O 0.148 0.163 0.923 1
O6 O 0.152 0.530 0.202 1
O7 O 0.195 0.203 0.572 1
O8 O 0.202 0.482 0.776 1
O9 O 0.276 0.457 0.514 1
O10 O 0.279 0.820 0.829 1
O11 O 0.305 0.944 0.635 1
O12 O 0.385 0.585 0.081 1
O13 O 0.394 0.770 0.372 1
O14 O 0.416 0.471 0.280 1
O15 O 0.442 0.124 0.933 1
O16 O 0.450 0.103 0.231 1
O17 O 0.550 0.897 0.769 1
O18 O 0.558 0.876 0.067 1
O19 O 0.584 0.529 0.720 1
O20 O 0.606 0.230 0.628 1
O21 O 0.615 0.415 0.919 1
O22 O 0.695 0.056 0.365 1
O23 O 0.721 0.180 0.171 1
O24 O 0.724 0.543 0.486 1
O25 O 0.798 0.518 0.224 1
O26 O 0.805 0.797 0.428 1
O27 O 0.848 0.470 0.798 1
O28 O 0.852 0.837 0.077 1
O29 O 0.875 0.945 0.834 1
O30 O 0.906 0.262 0.960 1
O31 O 0.929 0.118 0.683 1
O32 O 0.992 0.338 0.502 1
```



No. 4
Entry from Alexandria via LeMat-Bulk: NaCuP4O12 after structural relaxation (PBE-GGA).

Summary:
total magnetic moment: 0.001 μB per formula unit
VASP energy: -240.3 eV for the cell shown
raw formation energy: -1.8678 eV per atom
crystal system: monoclinic

```
data_NaCuP4O12
_chemical_formula_sum 'Na2 Cu2 P8 O24'
_symmetry_space_group_name_H-M 'P 1'
_symmetry_Int_Tables_number 1
_cell_length_a 8.006
_cell_length_b 8.006
_cell_length_c 8.330
_cell_angle_alpha 92.84
_cell_angle_beta 92.84
_cell_angle_gamma 107.34
loop_
_symmetry_equiv_pos_as_xyz
'x,y,z'
loop_
_atom_site_label
_atom_site_type_symbol
_atom_site_fract_x
_atom_site_fract_y
_atom_site_fract_z
_atom_site_occupancy
Na1 Na 0.160 0.840 0.500 1
Na2 Na 0.840 0.160 0.000 1
Cu1 Cu 0.203 0.483 0.067 1
Cu2 Cu 0.483 0.203 0.567 1
P1 P 0.115 0.800 0.933 1
P2 P 0.130 0.276 0.648 1
P3 P 0.276 0.130 0.148 1
P4 P 0.394 0.550 0.503 1
P5 P 0.550 0.394 0.003 1
P6 P 0.609 0.894 0.666 1
P7 P 0.800 0.115 0.433 1
P8 P 0.894 0.609 0.166 1
O1 O 0.006 0.200 0.487 1
O2 O 0.034 0.272 0.796 1
O3 O 0.076 0.779 0.757 1
O4 O 0.175 0.266 0.154 1
O5 O 0.200 0.006 0.987 1
O6 O 0.226 0.474 0.607 1
O7 O 0.243 0.714 0.014 1
O8 O 0.266 0.175 0.654 1
O9 O 0.272 0.034 0.296 1
O10 O 0.347 0.638 0.363 1
O11 O 0.404 0.476 0.965 1
O12 O 0.459 0.971 0.616 1
O13 O 0.474 0.226 0.107 1
O14 O 0.476 0.404 0.465 1
O15 O 0.524 0.685 0.638 1
O16 O 0.638 0.347 0.863 1
O17 O 0.685 0.524 0.138 1
O18 O 0.694 0.936 0.829 1
O19 O 0.714 0.243 0.514 1
O20 O 0.747 0.936 0.527 1
O21 O 0.779 0.076 0.257 1
O22 O 0.936 0.694 0.329 1
O23 O 0.936 0.747 0.027 1
O24 O 0.971 0.459 0.116 1
```



No. 5
Entry from Alexandria via LeMat-Bulk: Na5Cu3P4O16 after structural relaxation (PBE-GGA).

Summary:
total magnetic moment: 1.920 μB per formula unit
VASP energy: -170.8 eV for the cell shown
raw formation energy: -1.8195 eV per atom
crystal system: triclinic

```
data_Na5Cu3P4O16
_chemical_formula_sum 'Na5 Cu3 P4 O16'
_symmetry_space_group_name_H-M 'P 1'
_symmetry_Int_Tables_number 1
_cell_length_a 5.108
_cell_length_b 8.608
_cell_length_c 9.283
_cell_angle_alpha 62.92
_cell_angle_beta 89.27
_cell_angle_gamma 74.02
loop_
_symmetry_equiv_pos_as_xyz
'x,y,z'
loop_
_atom_site_label
_atom_site_type_symbol
_atom_site_fract_x
_atom_site_fract_y
_atom_site_fract_z
_atom_site_occupancy
Na1 Na 0.000 0.000 0.000 1
Na2 Na 0.290 0.469 0.252 1
Na3 Na 0.339 0.348 0.638 1
Na4 Na 0.661 0.652 0.362 1
Na5 Na 0.710 0.531 0.748 1
Cu1 Cu 0.142 0.756 0.793 1
Cu2 Cu 0.500 0.000 0.500 1
Cu3 Cu 0.858 0.244 0.207 1
P1 P 0.067 0.817 0.434 1
P2 P 0.283 0.312 0.977 1
P3 P 0.717 0.688 0.023 1
P4 P 0.933 0.183 0.566 1
O1 O 0.020 0.701 0.003 1
O2 O 0.028 0.987 0.266 1
O3 O 0.205 0.644 0.418 1
O4 O 0.213 0.201 0.498 1
O5 O 0.250 0.509 0.825 1
O6 O 0.250 0.832 0.563 1
O7 O 0.416 0.281 0.137 1
O8 O 0.437 0.185 0.910 1
O9 O 0.563 0.815 0.090 1
O10 O 0.584 0.719 0.863 1
O11 O 0.750 0.168 0.437 1
O12 O 0.750 0.491 0.175 1
O13 O 0.787 0.799 0.502 1
O14 O 0.795 0.356 0.582 1
O15 O 0.972 0.013 0.734 1
O16 O 0.980 0.299 0.997 1
```



No. 6
Entry from Alexandria via LeMat-Bulk: NaCuP2O6 after structural relaxation (PBE-GGA).

Summary:
total magnetic moment: 0.074 μB per formula unit
VASP energy: -129.2 eV for the cell shown
raw formation energy: -1.8608 eV per atom
crystal system: monoclinic

```
data_NaCuP2O6
_chemical_formula_sum 'Na2 Cu2 P4 O12'
_symmetry_space_group_name_H-M 'P 1'
_symmetry_Int_Tables_number 1
_cell_length_a 7.387
_cell_length_b 7.387
_cell_length_c 4.918
_cell_angle_alpha 101.92
_cell_angle_beta 101.92
_cell_angle_gamma 90.02
loop_
_symmetry_equiv_pos_as_xyz
'x,y,z'
loop_
_atom_site_label
_atom_site_type_symbol
_atom_site_fract_x
_atom_site_fract_y
_atom_site_fract_z
_atom_site_occupancy
Na1 Na 0.108 0.892 0.750 1
Na2 Na 0.892 0.108 0.250 1
Cu1 Cu 0.280 0.720 0.250 1
Cu2 Cu 0.720 0.280 0.750 1
P1 P 0.212 0.375 0.787 1
P2 P 0.375 0.212 0.287 1
P3 P 0.625 0.788 0.713 1
P4 P 0.788 0.625 0.213 1
O1 O 0.058 0.229 0.698 1
O2 O 0.171 0.576 0.884 1
O3 O 0.229 0.058 0.198 1
O4 O 0.321 0.374 0.533 1
O5 O 0.374 0.321 0.033 1
O6 O 0.424 0.829 0.616 1
O7 O 0.576 0.171 0.384 1
O8 O 0.626 0.679 0.967 1
O9 O 0.679 0.626 0.467 1
O10 O 0.771 0.942 0.802 1
O11 O 0.829 0.424 0.116 1
O12 O 0.942 0.771 0.302 1
```



No. 7
Entry from Alexandria via LeMat-Bulk: NaPaCuO4 after structural relaxation (PBE-GGA).

Summary:
total magnetic moment: 1.003 μB per formula unit
VASP energy: -101.3 eV for the cell shown
raw formation energy: -2.2690 eV per atom
crystal system: orthorhombic

```
data_NaPaCuO4
_chemical_formula_sum 'Na2 Pa2 Cu2 O8'
_symmetry_space_group_name_H-M 'P 1'
_symmetry_Int_Tables_number 1
_cell_length_a 6.828
_cell_length_b 6.828
_cell_length_c 6.828
_cell_angle_alpha 128.68
_cell_angle_beta 118.97
_cell_angle_gamma 83.72
loop_
_symmetry_equiv_pos_as_xyz
'x,y,z'
loop_
_atom_site_label
_atom_site_type_symbol
_atom_site_fract_x
_atom_site_fract_y
_atom_site_fract_z
_atom_site_occupancy
Na1 Na 0.428 0.178 0.250 1
Na2 Na 0.572 0.822 0.750 1
Pa1 Pa 0.000 0.500 0.500 1
Pa2 Pa 0.500 0.500 0.000 1
Cu1 Cu 0.000 0.000 0.500 1
Cu2 Cu 0.000 0.500 0.000 1
O1 O 0.155 0.715 0.440 1
O2 O 0.225 0.285 0.940 1
O3 O 0.278 0.309 0.531 1
O4 O 0.278 0.748 0.969 1
O5 O 0.722 0.252 0.031 1
O6 O 0.722 0.691 0.469 1
O7 O 0.775 0.715 0.060 1
O8 O 0.845 0.285 0.560 1
```



No. 8
Entry from Alexandria via LeMat-Bulk: Na2PaCuO6 after structural relaxation (PBE-GGA).

Summary:
total magnetic moment: 0.000 μB per formula unit
VASP energy: -63.4 eV for the cell shown
raw formation energy: -1.7415 eV per atom
crystal system: trigonal

```
data_Na2PaCuO6
_chemical_formula_sum 'Na2 Pa1 Cu1 O6'
_symmetry_space_group_name_H-M 'P 1'
_symmetry_Int_Tables_number 1
_cell_length_a 5.624
_cell_length_b 5.624
_cell_length_c 5.624
_cell_angle_alpha 59.83
_cell_angle_beta 59.83
_cell_angle_gamma 59.83
loop_
_symmetry_equiv_pos_as_xyz
'x,y,z'
loop_
_atom_site_label
_atom_site_type_symbol
_atom_site_fract_x
_atom_site_fract_y
_atom_site_fract_z
_atom_site_occupancy
Na1 Na 0.250 0.250 0.250 1
Na2 Na 0.750 0.750 0.750 1
Pa1 Pa 0.000 0.000 0.000 1
Cu1 Cu 0.500 0.500 0.500 1
O1 O 0.197 0.738 0.325 1
O2 O 0.262 0.675 0.803 1
O3 O 0.325 0.197 0.738 1
O4 O 0.675 0.803 0.262 1
O5 O 0.738 0.325 0.197 1
O6 O 0.803 0.262 0.675 1
```